This record from Alexandria describes crystalline Sm6Sb2Rh at its relaxed geometry. The functional is PBE.

Structure (POSCAR):
```
Sm6Sb2Rh
1.0
-6.217 1.602 0.382
-1.786 -7.549 2.594
1.667 2.963 9.771
Sm Sb Rh
12 4 2
Cartesian
0.446 2.252 7.476
-2.032 -1.141 8.792
-6.782 -5.235 5.271
-0.677 -0.867 5.347
-3.645 -5.505 2.704
-2.690 2.521 10.043
-5.659 -2.116 7.400
-3.350 1.257 6.046
-2.986 -4.241 6.700
-4.304 -1.842 3.955
-5.018 -0.931 11.424
-1.318 -2.052 1.323
-2.327 0.522 2.900
-5.082 0.776 8.673
-4.009 -3.505 9.847
-1.254 -3.760 4.074
0.834 1.482 4.885
-4.002 -2.973 1.488
```

The total energy is -5.542 eV/atom. The volume is 30.22 Å³ per atom. For the raw formation energy, the calculation gives -5.97 eV/f.u.